No. 1
CaEr2Cu3, optimized geometry, DFT PBE; energy relative to the elements = -0.214 eV/atom; mass density = 7.4 Mg/m³
1.0
3.458 0.000 0.000
0.000 3.458 0.000
0.000 0.000 10.537
Ca Er Cu
1 2 3
direct
0.000 0.000 0.000
0.000 0.000 0.336
0.000 0.000 0.664
0.500 0.500 0.188
0.500 0.500 0.500
0.500 0.500 0.812

No. 2
AcB2Ru, optimized geometry, DFT PBE; energy relative to the elements = -0.012 eV/atom; mass density = 9.2 Mg/m³
1.0
1.871 1.080 5.228
-1.871 1.080 5.228
0.000 -2.161 5.228
Ac B Ru
1 2 1
direct
0.000 0.000 0.000
0.193 0.193 0.193
0.807 0.807 0.807
0.500 0.500 0.500

No. 3
Co3SbI, optimized geometry, DFT PBE; formation energy (no corrections) = 1.14 eV/atom; mass density = 5.9 Mg/m³
1.0
4.931 0.000 0.000
0.000 4.931 0.000
0.000 0.000 4.931
Co Sb I
3 1 1
direct
0.000 0.000 0.500
0.000 0.500 0.000
0.500 0.000 0.000
0.000 0.000 0.000
0.500 0.500 0.500

No. 4
Li2LaRh2, optimized geometry, DFT PBE; energy relative to the elements = -0.272 eV/atom; mass density = 6.5 Mg/m³
1.0
-1.934 1.934 6.107
1.934 -1.934 6.107
1.934 1.934 -6.107
Li La Rh
2 1 2
direct
0.250 0.750 0.500
0.750 0.250 0.500
0.000 0.000 0.000
0.390 0.390 0.000
0.610 0.610 0.000

No. 5
RbPIrPb2, optimized geometry, DFT PBE; energy relative to the elements = 2.090 eV/atom; mass density = 6.9 Mg/m³
1.0
6.009 0.000 0.000
0.000 6.009 0.000
0.000 0.000 4.841
Rb P Ir Pb
1 1 1 2
direct
0.000 0.000 0.000
0.500 0.500 0.500
0.000 0.000 0.500
0.000 0.500 0.000
0.500 0.000 0.000

No. 6
Cs2SbS2, optimized geometry, DFT PBE; formation energy (no corrections) = 0.02 eV/atom; mass density = 4.2 Mg/m³
1.0
10.472 0.000 0.000
0.000 10.472 0.000
0.000 0.000 3.234
Cs Sb S
4 2 4
direct
0.134 0.366 0.000
0.366 0.866 0.000
0.634 0.134 0.000
0.866 0.634 0.000
0.000 0.000 0.000
0.500 0.500 0.000
0.165 0.665 0.500
0.335 0.165 0.500
0.665 0.835 0.500
0.835 0.335 0.500

No. 7
Er4SnHg3, optimized geometry, DFT PBE; energy relative to the elements = -0.515 eV/atom; mass density = 11.4 Mg/m³
1.0
5.240 0.000 0.000
0.000 5.240 0.000
0.000 0.000 7.390
Er Sn Hg
4 1 3
direct
0.000 0.500 0.248
0.000 0.500 0.752
0.500 0.000 0.248
0.500 0.000 0.752
0.000 0.000 0.500
0.000 0.000 0.000
0.500 0.500 0.000
0.500 0.500 0.500

No. 8
NaLa4Se5, optimized geometry, DFT PBE; formation energy (no corrections) = -1.90 eV/atom; mass density = 5.7 Mg/m³
1.0
-4.823 4.823 3.040
4.823 -4.823 3.040
4.823 4.823 -3.040
Na La Se
1 4 5
direct
0.000 0.000 0.000
0.201 0.398 0.599
0.398 0.799 0.198
0.602 0.201 0.802
0.799 0.602 0.401
0.098 0.702 0.800
0.298 0.098 0.396
0.500 0.500 0.000
0.702 0.902 0.604
0.902 0.298 0.200

No. 9
Tb8GaSb2, optimized geometry, DFT PBE; formation energy (no corrections) = -0.45 eV/atom; mass density = 8.2 Mg/m³
1.0
9.496 -2.444 0.000
9.496 2.444 0.000
-1.269 0.000 6.901
Tb Ga Sb
8 1 2
direct
0.015 0.015 0.269
0.216 0.216 0.844
0.343 0.343 0.477
0.407 0.407 0.014
0.593 0.593 0.986
0.657 0.657 0.523
0.784 0.784 0.156
0.985 0.985 0.731
0.500 0.500 0.500
0.180 0.180 0.269
0.820 0.820 0.731

No. 10
Pm12Nd5Er2, optimized geometry, DFT PBE; energy relative to the elements = 0.097 eV/atom; mass density = 7.1 Mg/m³
1.0
9.033 -5.915 0.000
9.033 5.915 0.000
-1.395 0.000 6.115
Pm Nd Er
12 5 2
direct
0.049 0.559 0.801
0.053 0.053 0.273
0.144 0.651 0.382
0.349 0.856 0.618
0.381 0.381 0.002
0.441 0.951 0.199
0.559 0.049 0.801
0.619 0.619 0.998
0.651 0.144 0.382
0.856 0.349 0.618
0.947 0.947 0.727
0.951 0.441 0.199
0.176 0.176 0.857
0.285 0.285 0.446
0.500 0.500 0.500
0.715 0.715 0.554
0.824 0.824 0.143
0.270 0.730 0.000
0.730 0.270 0.000

No. 11
MgZn6Ag, optimized geometry, DFT PBE; energy relative to the elements = 0.025 eV/atom; mass density = 6.6 Mg/m³
1.0
5.094 0.000 0.000
0.000 5.094 0.000
0.000 0.000 5.094
Mg Zn Ag
1 6 1
direct
0.000 0.000 0.000
0.000 0.250 0.500
0.000 0.750 0.500
0.250 0.500 0.000
0.500 0.000 0.250
0.500 0.000 0.750
0.750 0.500 0.000
0.500 0.500 0.500

No. 12
TbPuCuTc, optimized geometry, DFT PBE; energy relative to the elements = 0.049 eV/atom; mass density = 11.6 Mg/m³
1.0
0.000 3.434 3.434
3.434 0.000 3.434
3.434 3.434 0.000
Tb Pu Cu Tc
1 1 1 1
direct
0.000 0.000 0.000
0.500 0.500 0.500
0.750 0.750 0.750
0.250 0.250 0.250

No. 13
AlHRuRh2, optimized geometry, DFT PBE; uncorrected energy = -6.50 eV per atom; mass density = 9.5 Mg/m³
1.0
3.877 0.000 0.000
0.000 3.877 0.000
0.000 0.000 3.914
Al H Ru Rh
1 1 1 2
direct
0.000 0.000 0.000
0.500 0.500 0.500
0.500 0.500 0.000
0.000 0.500 0.500
0.500 0.000 0.500

No. 14
Sb2Ir3, optimized geometry, DFT PBE; formation energy (no corrections) = 0.05 eV/atom; mass density = 15.0 Mg/m³
1.0
0.000 6.478 3.274
4.279 0.000 3.274
4.279 6.478 0.000
Sb Ir
4 6
direct
0.222 0.778 0.366
0.616 0.884 0.472
0.778 0.222 0.634
0.884 0.616 0.028
0.183 0.923 0.021
0.229 0.377 0.067
0.377 0.229 0.327
0.417 0.417 0.583
0.667 0.667 0.833
0.923 0.183 0.873

No. 15
Nd13Au2, optimized geometry, DFT PBE; energy relative to the elements = -0.153 eV/atom; mass density = 7.6 Mg/m³
1.0
6.787 0.000 0.000
1.447 8.524 0.000
1.467 4.056 8.604
Nd Au
13 2
direct
0.000 0.000 0.000
0.035 0.216 0.336
0.185 0.641 0.364
0.242 0.585 0.017
0.281 0.361 0.780
0.439 0.052 0.157
0.486 0.766 0.568
0.514 0.234 0.432
0.561 0.948 0.843
0.719 0.639 0.220
0.758 0.415 0.983
0.815 0.359 0.636
0.965 0.784 0.664
0.175 0.061 0.673
0.825 0.939 0.327

No. 16
Zr4OsCl, optimized geometry, DFT PBE; formation energy (no corrections) = 0.74 eV/atom; mass density = 7.7 Mg/m³
1.0
0.000 3.990 3.990
3.990 0.000 3.990
3.990 3.990 0.000
Zr Os Cl
4 1 1
direct
0.377 0.377 0.377
0.377 0.377 0.868
0.377 0.868 0.377
0.868 0.377 0.377
0.750 0.750 0.750
0.000 0.000 0.000

No. 17
Nd2HBr, optimized geometry, DFT PBE; uncorrected energy = -4.42 eV per atom; mass density = 6.7 Mg/m³
1.0
1.875 1.083 7.516
-1.875 1.083 7.516
0.000 -2.165 7.516
Nd H Br
2 1 1
direct
0.229 0.229 0.229
0.771 0.771 0.771
0.500 0.500 0.500
0.000 0.000 0.000

No. 18
Zn2CrIr, optimized geometry, DFT PBE; energy relative to the elements = 0.003 eV/atom; mass density = 11.1 Mg/m³
1.0
4.405 -1.415 0.000
4.405 1.415 0.000
-0.886 0.000 4.511
Zn Cr Ir
2 1 1
direct
0.000 0.000 0.000
0.243 0.243 0.782
0.490 0.490 0.491
0.750 0.750 0.292

No. 19
LaFe2Cu, optimized geometry, DFT PBE; energy relative to the elements = 0.092 eV/atom; mass density = 7.2 Mg/m³
1.0
2.025 1.169 5.069
-2.025 1.169 5.069
0.000 -2.338 5.069
La Fe Cu
1 2 1
direct
0.000 0.000 0.000
0.483 0.483 0.483
0.806 0.806 0.806
0.198 0.198 0.198

No. 20
TlPtN2, optimized geometry, DFT PBE; formation energy (no corrections) = 1.78 eV/atom; mass density = 13.9 Mg/m³
1.0
0.000 2.946 2.946
2.946 0.000 2.946
2.946 2.946 0.000
Tl Pt N
1 1 2
direct
0.000 0.000 0.000
0.500 0.500 0.500
0.250 0.250 0.250
0.750 0.750 0.750